(1)
Mg2ZrTl: relaxed, PBE.

Structure (POSCAR):
```
Mg2ZrTl
1.0
6.135 -0.003 0.010
3.110 5.288 -0.010
-4.095 -3.564 2.857
Mg Tl Zr
2 1 1
Direct
0.998 0.998 0.000
0.502 0.502 0.000
0.750 0.250 0.500
0.250 0.750 0.500
```

Computed properties:
- energy (eV/atom) = -3.496
- density of states at the Fermi level (states/eV per atom) = 0.95
- energy of formation (eV per atom) = 0.03

=====

(2)
NaLaPt4: relaxed, PBE.

Structure (POSCAR):
```
NaLaPt4
1.0
-1.118 0.069 5.348
0.795 -4.487 3.016
4.068 -0.157 3.644
Na Pt La
1 4 1
Direct
0.000 0.000 0.000
0.625 0.625 0.124
0.625 0.124 0.625
0.625 0.625 0.625
0.124 0.625 0.625
0.250 0.250 0.250
```

Computed properties:
- energy (eV/atom) = -5.924
- density of states at the Fermi level (states/eV per atom) = 0.73
- energy of formation (eV per atom) = -0.86

=====

(3)
MnTcRu2: relaxed, PBE.

Structure (POSCAR):
```
MnTcRu2
1.0
-2.292 1.318 -0.430
-1.206 -1.487 1.873
1.915 5.038 5.234
Mn Ru Tc
1 2 1
Direct
0.500 0.500 0.755
0.000 0.000 0.988
0.500 0.500 0.250
0.000 0.000 0.508
```

Computed properties:
- energy (eV/atom) = -9.428
- density of states at the Fermi level (states/eV per atom) = 0.96
- energy of formation (eV per atom) = 0.09

=====

(4)
MnAgSe2: relaxed, PBE.

Structure (POSCAR):
```
MnAgSe2
1.0
0.467 -13.186 -3.710
3.768 -4.039 5.816
-6.414 0.982 4.716
Mn Se Ag
8 16 8
Direct
0.140 0.188 0.338
0.360 0.838 0.688
0.860 0.812 0.662
0.640 0.162 0.312
0.368 0.329 0.695
0.132 0.195 0.829
0.632 0.671 0.305
0.868 0.805 0.171
0.983 0.725 0.479
0.517 0.979 0.225
0.017 0.275 0.521
0.483 0.021 0.775
0.738 0.098 0.091
0.762 0.591 0.598
0.262 0.902 0.909
0.238 0.409 0.402
0.533 0.467 0.214
0.967 0.714 0.967
0.467 0.533 0.786
0.033 0.286 0.033
0.750 0.124 0.624
0.250 0.876 0.376
0.750 0.622 0.122
0.250 0.378 0.878
0.356 0.413 0.207
0.144 0.707 0.913
0.644 0.587 0.793
0.856 0.293 0.087
0.382 0.080 0.411
0.118 0.911 0.580
0.618 0.920 0.589
0.882 0.089 0.420
```

Computed properties:
- energy (eV/atom) = -4.956
- density of states at the Fermi level (states/eV per atom) = 0.35

=====

(5)
TbLuZnSi: relaxed, PBE.

Structure (POSCAR):
```
TbLuZnSi
1.0
4.932 0.000 0.000
2.466 4.271 0.000
2.466 1.424 4.027
Zn Lu Tb Si
1 1 1 1
Direct
0.250 0.250 0.250
0.500 0.500 0.500
0.000 0.000 0.000
0.750 0.750 0.750
```

Computed properties:
- energy (eV/atom) = -4.407
- density of states at the Fermi level (states/eV per atom) = 0.44

=====

(6)
FeOsRh2: relaxed, PBE.

Structure (POSCAR):
```
FeOsRh2
1.0
-0.571 0.892 2.452
-1.810 -1.498 -1.271
3.658 -7.435 3.556
Fe Os Rh
1 1 2
Direct
0.500 0.500 0.250
0.500 0.500 0.750
0.000 0.000 0.009
0.000 0.000 0.491
```

Computed properties:
- energy (eV/atom) = -8.316
- density of states at the Fermi level (states/eV per atom) = 1.25
- energy of formation (eV per atom) = 0.28